# YSi3Sb PBE relaxed
data_YSi3Sb
_chemical_formula_sum 'Y1 Si3 Sb1'
_cell_length_a 5.1167
_cell_length_b 5.1167
_cell_length_c 5.1167
_cell_angle_alpha 90.00
_cell_angle_beta 90.00
_cell_angle_gamma 90.00
_symmetry_space_group_name_H-M 'P m -3 m'
_symmetry_Int_Tables_number 221
_symmetry_space_group_name_Hall '-P 4 2 3'
loop_
_atom_site_label
_atom_site_type_symbol
_atom_site_fract_x
_atom_site_fract_y
_atom_site_fract_z
_atom_site_occupancy
Y1 Y 0.0000 0.0000 0.0000 1
Si1 Si 0.0000 0.5000 0.5000 1
Sb1 Sb 0.5000 0.5000 0.5000 1
# formation energy without anion corrections = 426 kJ/mol of formula units
# magnetization = 0.00 μB/cell
# polymorph energy (0 for the lowest one) = 0 meV/atom

# HoLuCd2 PBE relaxed
data_HoLuCd2
_chemical_formula_sum 'Ho4 Lu4 Cd8'
_cell_length_a 7.3971
_cell_length_b 7.3971
_cell_length_c 7.3971
_cell_angle_alpha 90.00
_cell_angle_beta 90.00
_cell_angle_gamma 90.00
_symmetry_space_group_name_H-M 'F m -3 m'
_symmetry_Int_Tables_number 225
_symmetry_space_group_name_Hall '-F 4 2 3'
loop_
_atom_site_label
_atom_site_type_symbol
_atom_site_fract_x
_atom_site_fract_y
_atom_site_fract_z
_atom_site_occupancy
Ho1 Ho 0.0000 0.0000 0.0000 1
Lu1 Lu 0.0000 0.0000 0.5000 1
Cd1 Cd 0.2500 0.2500 0.2500 1
# DFT formation energy = -0.313 eV/atom
# magnetization = 0.00 μB/cell
# polymorph energy (0 for the lowest one) = 0 meV/atom

# Pr3Mg7 PBE relaxed
data_Pr3Mg7
_chemical_formula_sum 'Pr6 Mg14'
_cell_length_a 17.1903
_cell_length_b 5.1280
_cell_length_c 6.6932
_cell_angle_alpha 90.00
_cell_angle_beta 112.10
_cell_angle_gamma 90.00
_symmetry_space_group_name_H-M 'C 1 2/m 1'
_symmetry_Int_Tables_number 12
_symmetry_space_group_name_Hall '-C 2y'
loop_
_atom_site_label
_atom_site_type_symbol
_atom_site_fract_x
_atom_site_fract_y
_atom_site_fract_z
_atom_site_occupancy
Pr1 Pr 0.0000 0.0000 0.0000 1
Pr2 Pr 0.2086 0.0000 0.6319 1
Mg1 Mg 0.0000 0.0000 0.5000 1
Mg2 Mg 0.0876 0.5000 0.3313 1
Mg3 Mg 0.1100 0.5000 0.8408 1
Mg4 Mg 0.1986 0.0000 0.1006 1
# DFT formation energy = -0.086 eV/atom
# magnetization = 0.00 μB/cell